[1]
! KLi PBEsol optimized geometry; values from VASP
! total magnetization	0.0	μB per formula unit
! space group	Fd-3m (227)
&SYSTEM
  ibrav = 0, nat = 4, ntyp = 2
/
ATOMIC_SPECIES
K 39.10 K.upf
Li 6.94 Li.upf
CELL_PARAMETERS angstrom
0.000 4.388 4.388
4.388 0.000 4.388
4.388 4.388 0.000
ATOMIC_POSITIONS angstrom
K 1.097 1.097 1.097
K 7.678 7.678 7.678
Li 3.291 3.291 3.291
Li 5.485 5.485 5.485



[2]
! KLi2 PBEsol optimized geometry; values from VASP
! total magnetization	0.0	μB per formula unit
! space group	I4/mmm (139)
&SYSTEM
  ibrav = 0, nat = 3, ntyp = 2
/
ATOMIC_SPECIES
K 39.10 K.upf
Li 6.94 Li.upf
CELL_PARAMETERS angstrom
-1.994 1.994 6.567
1.994 -1.994 6.567
1.994 1.994 -6.567
ATOMIC_POSITIONS angstrom
K 0.000 0.000 0.000
Li 0.000 0.000 3.826
Li 0.000 0.000 9.309



[3]
! KLi3 PBEsol optimized geometry; values from VASP
! total magnetization	0.0	μB per formula unit
! space group	Pm-3m (221)
&SYSTEM
  ibrav = 0, nat = 4, ntyp = 2
/
ATOMIC_SPECIES
K 39.10 K.upf
Li 6.94 Li.upf
CELL_PARAMETERS angstrom
5.023 0.000 0.000
0.000 5.023 0.000
0.000 0.000 5.023
ATOMIC_POSITIONS angstrom
K 0.000 0.000 0.000
Li 0.000 2.512 2.512
Li 2.512 0.000 2.512
Li 2.512 2.512 0.000



| no. | E_form (eV per atom) |
| --- | --- |
| 1 | 0.155 |
| 2 | 0.114 |
| 3 | 0.176 |